Entry 1:
Material: CsTlHg2Pb
Method: DFT, PBE
State: optimized geometry

The structure in extended XYZ format:
```
5
Lattice="6.185 0.000 0.000 0.000 6.185 0.000 0.000 0.000 6.008" Properties=species:S:1:pos:R:3 pbc="T T T"
Cs 0.000 0.000 0.000
Tl 3.093 3.093 0.000
Hg 0.000 3.093 3.004
Hg 3.093 0.000 3.004
Pb 3.093 3.093 3.004
```

Calculated values
Crystal system   tetragonal
E_tot   -1.515 eV per atom
Total moment   0.000 μB per atom
SG   No. 123

Entry 2:
Material: Cs2TlHgPb
Method: DFT, PBE
State: optimized geometry

The structure in extended XYZ format:
```
5
Lattice="7.657 0.000 0.000 0.000 7.657 0.000 0.000 0.000 5.838" Properties=species:S:1:pos:R:3 pbc="T T T"
Cs 0.000 3.828 0.000
Cs 3.828 0.000 0.000
Tl 0.000 0.000 2.919
Hg 3.828 3.828 2.919
Pb 0.000 0.000 0.000
```

Calculated values
Crystal system   tetragonal
E_tot   -1.623 eV per atom
Total moment   0.000 μB per atom
SG   No. 123

no.,N(E_F) (states/eV/atom)
1,0.4535
2,0.3389